Here is an optimized crystal structure of Ho3Tm2Bi2 from Alexandria via LeMat-Bulk. Energies are from PBE-GGA.

DOS at the Fermi energy in states/eV per cell: 5.3
Total magnetization in μB per cell: 0.0

abc: 6.3989 6.3989 8.4773
angles: 106.32 106.32 39.28
Element x y z (fractional)
Ho1 0.0000 0.0000 0.0000
Ho2 0.1266 0.1266 0.4433
Ho3 0.8734 0.8734 0.5567
Tm1 0.3824 0.3824 0.2397
Tm2 0.6176 0.6176 0.7603
Bi1 0.3207 0.3207 0.8167
Bi2 0.6793 0.6793 0.1833


Here is an optimized crystal structure of Ho3Tm4Bi8 from Alexandria via LeMat-Bulk. Energies are from PBE-GGA.

DOS at the Fermi energy in states/eV per cell: 8.1
Total magnetization in μB per cell: 0.0

abc: 8.8472 8.8472 8.8405
angles: 119.96 119.96 90.03
Element x y z (fractional)
Ho1 0.0000 0.0000 0.0000
Ho2 0.0000 0.5000 0.0000
Ho3 0.5000 0.0000 0.0000
Tm1 0.0000 0.5000 0.5000
Tm2 0.5000 0.0000 0.5000
Tm3 0.5000 0.5000 0.0000
Tm4 0.5000 0.5000 0.5000
Bi1 0.2464 0.2464 0.5016
Bi2 0.2457 0.7543 0.5000
Bi3 0.2466 0.2466 0.9916
Bi4 0.2506 0.7494 0.0000
Bi5 0.7494 0.2506 0.0000
Bi6 0.7534 0.7534 0.0084
Bi7 0.7543 0.2457 0.5000
Bi8 0.7536 0.7536 0.4984


Here is an optimized crystal structure of HoTm2Bi from Alexandria via LeMat-Bulk. Energies are from PBE-GGA.

DOS at the Fermi energy in states/eV per cell: 9.8
Total magnetization in μB per cell: 0.0
Excess energy over the best structure of this formula in the dataset in meV/atom: 0.0

abc: 11.4374 11.4374 4.5621
angles: 90.00 90.00 156.75
Element x y z (fractional)
Ho1 0.1909 0.8091 0.7500
Ho2 0.8091 0.1909 0.2500
Tm1 0.0589 0.9411 0.2500
Tm2 0.4417 0.5583 0.2500
Tm3 0.5583 0.4417 0.7500
Tm4 0.9411 0.0589 0.7500
Bi1 0.3326 0.6674 0.7500
Bi2 0.6674 0.3326 0.2500


Here is an optimized crystal structure of HoTm3Bi4 from Alexandria via LeMat-Bulk. Energies are from PBE-GGA.

DOS at the Fermi energy in states/eV per cell: 1.2
Total magnetization in μB per cell: 0.0
Excess energy over the best structure of this formula in the dataset in meV/atom: 5.3

abc: 7.6840 7.6840 4.4403
angles: 90.00 90.00 109.46
Element x y z (fractional)
Ho1 0.0000 0.0000 0.0000
Tm1 0.0000 0.5000 0.5000
Tm2 0.5000 0.0000 0.5000
Tm3 0.5000 0.5000 0.0000
Bi1 0.2507 0.7493 0.0000
Bi2 0.2515 0.2515 0.5000
Bi3 0.7485 0.7485 0.5000
Bi4 0.7493 0.2507 0.0000


Here is an optimized crystal structure of HoTmBi2 from Alexandria via LeMat-Bulk. Energies are from PBE-GGA.

DOS at the Fermi energy in states/eV per cell: 1.2
Total magnetization in μB per cell: 0.0
Excess energy over the best structure of this formula in the dataset in meV/atom: 0.0

abc: 4.4434 6.2821 8.8867
angles: 90.00 90.00 90.00
Element x y z (fractional)
Ho1 0.2500 0.2500 0.1251
Ho2 0.7500 0.7500 0.8749
Tm1 0.2500 0.2500 0.6250
Tm2 0.7500 0.7500 0.3750
Bi1 0.2500 0.7500 0.1266
Bi2 0.2500 0.7500 0.6235
Bi3 0.7500 0.2500 0.3765
Bi4 0.7500 0.2500 0.8734


Here is an optimized crystal structure of Ho5Tm2Bi5 from Alexandria via LeMat-Bulk. Energies are from PBE-GGA.

DOS at the Fermi energy in states/eV per cell: 8.1
Total magnetization in μB per cell: 0.0

abc: 7.6163 7.6163 12.6521
angles: 111.91 111.91 33.67
Element x y z (fractional)
Ho1 0.0000 0.0000 0.0000
Ho2 0.1638 0.1638 0.5289
Ho3 0.2056 0.2056 0.8309
Ho4 0.7944 0.7944 0.1691
Ho5 0.8362 0.8362 0.4711
Tm1 0.4482 0.4482 0.7108
Tm2 0.5518 0.5518 0.2892
Bi1 0.1963 0.1963 0.2796
Bi2 0.3804 0.3804 0.0624
Bi3 0.5000 0.5000 0.5000
Bi4 0.6196 0.6196 0.9376
Bi5 0.8037 0.8037 0.7204


Here is an optimized crystal structure of Ho4TmBi5 from Alexandria via LeMat-Bulk. Energies are from PBE-GGA.

DOS at the Fermi energy in states/eV per cell: 1.2
Total magnetization in μB per cell: 0.0

abc: 16.0474 16.0474 16.0474
angles: 164.05 164.05 22.62
Element x y z (fractional)
Ho1 0.1000 0.1000 0.0000
Ho2 0.3002 0.3002 0.0000
Ho3 0.6998 0.6998 0.0000
Ho4 0.9000 0.9000 0.0000
Tm1 0.5000 0.5000 0.0000
Bi1 0.0000 0.0000 0.0000
Bi2 0.2001 0.2001 0.0000
Bi3 0.4004 0.4004 0.0000
Bi4 0.5996 0.5996 0.0000
Bi5 0.7999 0.7999 0.0000


Here is an optimized crystal structure of Ho4TmBi from Alexandria via LeMat-Bulk. Energies are from PBE-GGA.

DOS at the Fermi energy in states/eV per cell: 7.3
Total magnetization in μB per cell: 0.0

abc: 5.1695 5.1695 7.7765
angles: 90.00 90.00 90.00
Element x y z (fractional)
Ho1 0.0000 0.5000 0.2414
Ho2 0.0000 0.5000 0.7586
Ho3 0.5000 0.0000 0.2414
Ho4 0.5000 0.0000 0.7586
Tm1 0.0000 0.0000 0.0000
Bi1 0.5000 0.5000 0.5000


Here is an optimized crystal structure of Ho3Tm2Bi3 from Alexandria via LeMat-Bulk. Energies are from PBE-GGA.

DOS at the Fermi energy in states/eV per cell: 15.5
Total magnetization in μB per cell: 0.0

abc: 7.8849 7.8849 14.9784
angles: 90.00 90.00 148.49
Element x y z (fractional)
Ho1 0.0375 0.9625 0.6130
Ho2 0.0375 0.9625 0.8870
Ho3 0.3916 0.6084 0.7500
Ho4 0.6084 0.3916 0.2500
Ho5 0.9625 0.0375 0.1130
Ho6 0.9625 0.0375 0.3870
Tm1 0.2417 0.7583 0.1143
Tm2 0.2417 0.7583 0.3857
Tm3 0.7583 0.2417 0.6143
Tm4 0.7583 0.2417 0.8857
Bi1 0.3890 0.6110 0.5373
Bi2 0.3890 0.6110 0.9627
Bi3 0.3975 0.6025 0.2500
Bi4 0.6025 0.3975 0.7500
Bi5 0.6110 0.3890 0.0373
Bi6 0.6110 0.3890 0.4627


Here is an optimized crystal structure of Ho3TmBi3 from Alexandria via LeMat-Bulk. Energies are from PBE-GGA.

DOS at the Fermi energy in states/eV per cell: 11.7
Total magnetization in μB per cell: 0.0
Excess energy over the best structure of this formula in the dataset in meV/atom: 66.2

abc: 8.1437 8.1437 8.1437
angles: 67.20 67.20 67.20
Element x y z (fractional)
Ho1 0.0821 0.8282 0.3333
Ho2 0.1718 0.6667 0.9179
Ho3 0.3333 0.0821 0.8282
Ho4 0.6667 0.9179 0.1718
Ho5 0.8282 0.3333 0.0821
Ho6 0.9179 0.1718 0.6667
Tm1 0.3335 0.3335 0.3335
Tm2 0.6665 0.6665 0.6665
Bi1 0.0832 0.4795 0.6922
Bi2 0.3078 0.9168 0.5205
Bi3 0.4795 0.6922 0.0832
Bi4 0.5205 0.3078 0.9168
Bi5 0.6922 0.0832 0.4795
Bi6 0.9168 0.5205 0.3078


Here is an optimized crystal structure of HoTm8Bi6 from Alexandria via LeMat-Bulk. Energies are from PBE-GGA.

DOS at the Fermi energy in states/eV per cell: 9.3
Total magnetization in μB per cell: 0.0

abc: 10.7316 10.7316 10.7316
angles: 41.11 41.11 41.11
Element x y z (fractional)
Ho1 0.0000 0.0000 0.0000
Tm1 0.1230 0.4531 0.7905
Tm2 0.2095 0.8770 0.5469
Tm3 0.3334 0.3334 0.3334
Tm4 0.4531 0.7905 0.1230
Tm5 0.5469 0.2095 0.8770
Tm6 0.6666 0.6666 0.6666
Tm7 0.7905 0.1230 0.4531
Tm8 0.8770 0.5469 0.2095
Bi1 0.0619 0.7274 0.3977
Bi2 0.2726 0.6023 0.9381
Bi3 0.3977 0.0619 0.7274
Bi4 0.6023 0.9381 0.2726
Bi5 0.7274 0.3977 0.0619
Bi6 0.9381 0.2726 0.6023


Here is an optimized crystal structure of Ho5TmBi6 from Alexandria via LeMat-Bulk. Energies are from PBE-GGA.

DOS at the Fermi energy in states/eV per cell: 2.1
Total magnetization in μB per cell: 0.0

abc: 7.7134 7.7134 7.7117
angles: 99.60 99.60 119.99
Element x y z (fractional)
Ho1 0.0000 0.0000 0.0000
Ho2 0.1665 0.8335 0.5000
Ho3 0.3327 0.6673 0.0000
Ho4 0.6673 0.3327 0.0000
Ho5 0.8335 0.1665 0.5000
Tm1 0.5000 0.5000 0.5000
Bi1 0.0849 0.4170 0.2509
Bi2 0.2513 0.2513 0.7497
Bi3 0.4170 0.0849 0.2509
Bi4 0.5830 0.9151 0.7491
Bi5 0.7487 0.7487 0.2503
Bi6 0.9151 0.5830 0.7491


Here is an optimized crystal structure of HoTmBi from Alexandria via LeMat-Bulk. Energies are from PBE-GGA.

DOS at the Fermi energy in states/eV per cell: 2.1
Total magnetization in μB per cell: 1.0

abc: 6.0889 6.0889 6.0889
angles: 141.59 141.59 55.45
Element x y z (fractional)
Ho1 0.0000 0.0000 0.0000
Tm1 0.3157 0.3157 0.0000
Bi1 0.6594 0.6594 0.0000


Here is an optimized crystal structure of Ho5Tm3Bi8 from Alexandria via LeMat-Bulk. Energies are from PBE-GGA.

DOS at the Fermi energy in states/eV per cell: 3.3
Total magnetization in μB per cell: 0.0

abc: 8.8956 8.8956 8.8956
angles: 60.01 60.01 60.01
Element x y z (fractional)
Ho1 0.0000 0.0000 0.0000
Ho2 0.0000 0.5000 0.5000
Ho3 0.5000 0.0000 0.5000
Ho4 0.5000 0.5000 0.0000
Ho5 0.5000 0.5000 0.5000
Tm1 0.0000 0.0000 0.5000
Tm2 0.0000 0.5000 0.0000
Tm3 0.5000 0.0000 0.0000
Bi1 0.2493 0.2493 0.2493
Bi2 0.2486 0.7500 0.7500
Bi3 0.2500 0.2500 0.7514
Bi4 0.2500 0.7514 0.2500
Bi5 0.7500 0.2486 0.7500
Bi6 0.7500 0.7500 0.2486
Bi7 0.7514 0.2500 0.2500
Bi8 0.7507 0.7507 0.7507


Here is an optimized crystal structure of HoTmBi2 from Alexandria via LeMat-Bulk. Energies are from PBE-GGA.

DOS at the Fermi energy in states/eV per cell: 0.5
Total magnetization in μB per cell: 0.0
Excess energy over the best structure of this formula in the dataset in meV/atom: 102.8

abc: 7.9473 7.9473 7.9473
angles: 32.25 32.25 32.25
Element x y z (fractional)
Ho1 0.0000 0.0000 0.0000
Tm1 0.1702 0.1702 0.1702
Bi1 0.4177 0.4177 0.4177
Bi2 0.5863 0.5863 0.5863


Here is an optimized crystal structure of Ho3TmBi3 from Alexandria via LeMat-Bulk. Energies are from PBE-GGA.

DOS at the Fermi energy in states/eV per cell: 31.4
Total magnetization in μB per cell: 0.0
Excess energy over the best structure of this formula in the dataset in meV/atom: 0.0

abc: 9.3295 9.3295 9.3295
angles: 90.00 90.00 90.00
Element x y z (fractional)
Ho1 0.0725 0.4275 0.5725
Ho2 0.1764 0.1764 0.1764
Ho3 0.1758 0.8242 0.3242
Ho4 0.3242 0.1758 0.8242
Ho5 0.3236 0.8236 0.6764
Ho6 0.4275 0.5725 0.0725
Ho7 0.5725 0.0725 0.4275
Ho8 0.6764 0.3236 0.8236
Ho9 0.6758 0.6758 0.6758
Ho10 0.8242 0.3242 0.1758
Ho11 0.8236 0.6764 0.3236
Ho12 0.9275 0.9275 0.9275
Tm1 0.0745 0.5745 0.9255
Tm2 0.4255 0.4255 0.4255
Tm3 0.5745 0.9255 0.0745
Tm4 0.9255 0.0745 0.5745
Bi1 0.0006 0.2517 0.8744
Bi2 0.1256 0.5006 0.2483
Bi3 0.2483 0.1256 0.5006
Bi4 0.2517 0.8744 0.0006
Bi5 0.3744 0.4994 0.7483
Bi6 0.4994 0.7483 0.3744
Bi7 0.5006 0.2483 0.1256
Bi8 0.6256 0.9994 0.7517
Bi9 0.7483 0.3744 0.4994
Bi10 0.7517 0.6256 0.9994
Bi11 0.8744 0.0006 0.2517
Bi12 0.9994 0.7517 0.6256


Here is an optimized crystal structure of Ho4TmBi5 from Alexandria via LeMat-Bulk. Energies are from PBE-GGA.

DOS at the Fermi energy in states/eV per cell: 1.9
Total magnetization in μB per cell: 0.0

abc: 11.7773 11.7773 11.7773
angles: 158.21 149.01 38.21
Element x y z (fractional)
Ho1 0.1000 0.1000 0.0000
Ho2 0.3004 0.3004 0.0000
Ho3 0.6996 0.6996 0.0000
Ho4 0.9000 0.9000 0.0000
Tm1 0.5000 0.5000 0.0000
Bi1 0.0000 0.5000 0.5000
Bi2 0.2001 0.7001 0.5000
Bi3 0.4008 0.9008 0.5000
Bi4 0.5992 0.0992 0.5000
Bi5 0.7999 0.2999 0.5000


Here is an optimized crystal structure of YHo3Tm2Bi6 from Alexandria via LeMat-Bulk. Energies are from PBE-GGA.

DOS at the Fermi energy in states/eV per cell: 2.0
Total magnetization in μB per cell: 0.0

abc: 9.9611 9.9611 8.9125
angles: 102.85 102.85 25.84
Element x y z (fractional)
Y1 0.0000 0.0000 0.0000
Ho1 0.0000 0.0000 0.5000
Ho2 0.3339 0.3339 0.1671
Ho3 0.6661 0.6661 0.8329
Tm1 0.3333 0.3333 0.6668
Tm2 0.6667 0.6667 0.3332
Bi1 0.1673 0.1673 0.0850
Bi2 0.1672 0.1672 0.5820
Bi3 0.4993 0.4993 0.7484
Bi4 0.5007 0.5007 0.2516
Bi5 0.8328 0.8328 0.4180
Bi6 0.8327 0.8327 0.9150


Here is an optimized crystal structure of YHo2Tm3Bi6 from Alexandria via LeMat-Bulk. Energies are from PBE-GGA.

DOS at the Fermi energy in states/eV per cell: 2.0
Total magnetization in μB per cell: 0.0

abc: 9.9496 9.9496 8.9011
angles: 102.84 102.84 25.85
Element x y z (fractional)
Y1 0.0000 0.0000 0.0000
Ho1 0.3333 0.3333 0.6668
Ho2 0.6667 0.6667 0.3332
Tm1 0.0000 0.0000 0.5000
Tm2 0.3337 0.3337 0.1670
Tm3 0.6663 0.6663 0.8330
Bi1 0.1662 0.1662 0.5844
Bi2 0.1677 0.1677 0.0823
Bi3 0.4996 0.4996 0.2525
Bi4 0.5004 0.5004 0.7475
Bi5 0.8323 0.8323 0.9177
Bi6 0.8338 0.8338 0.4156


Here is an optimized crystal structure of Y2HoTmBi5 from Alexandria via LeMat-Bulk. Energies are from PBE-GGA.

DOS at the Fermi energy in states/eV per cell: 5.9
Total magnetization in μB per cell: 0.0

abc: 5.4091 5.4091 11.7852
angles: 90.00 90.00 90.00
Element x y z (fractional)
Y1 0.0000 0.0000 0.2293
Y2 0.0000 0.0000 0.7707
Ho1 0.5000 0.5000 0.0000
Tm1 0.5000 0.5000 0.5000
Bi1 0.0000 0.0000 0.5000
Bi2 0.0000 0.5000 0.0000
Bi3 0.5000 0.0000 0.0000
Bi4 0.5000 0.5000 0.2549
Bi5 0.5000 0.5000 0.7451


Record order is preserved below.
E_form: -0.429; -0.633; -0.403; -0.795; -0.810; -0.549; -0.826; 0.220; -0.510; -0.617; -0.448; -0.827; -0.433; -0.815; -0.707; -0.684; -0.826; -0.828; -0.819; 0.020 eV/atom